Record 1
## CoCuO2 (PBE with a Hubbard U)

Data for a relaxed structure of CoCuO2.

Cell lengths 3.7236, 3.7236, 3.7236 Å; angles 60.00, 60.00, 60.00 degrees
Last column: magnetic moment on the atom in μB.
Element x y z (fractional)
Co (0.0000, 0.0000, 0.0000)  2.58
O (0.2500, 0.2500, 0.2500)  -0.08
O (0.7500, 0.7500, 0.7500)  -0.08
Cu (0.5000, 0.5000, 0.5000)  -0.43

**Crystal system**: cubic
**Symmetry**: Fm-3m (225)
**Total magnetization**: 2.000 μB per formula unit
**Calculated total energy**: -5.03 eV per atom

---

Record 2
## CoCu3O6 (PBE with a Hubbard U)

Data for a relaxed structure of CoCu3O6.

Cell lengths 5.8514, 5.8514, 5.8514 Å; angles 89.59, 89.59, 89.59 degrees
Last column: magnetic moment on the atom in μB.
Element x y z (fractional)
Co (0.0000, 0.0000, 0.0000)  0.97
Co (0.5000, 0.5000, 0.5000)  0.04
Cu (0.4491, 0.9181, 0.7492)  0.03
Cu (0.9181, 0.7492, 0.4491)  0.03
Cu (0.2508, 0.5509, 0.0819)  0.03
Cu (0.7492, 0.4491, 0.9181)  0.03
Cu (0.0819, 0.2508, 0.5509)  0.03
Cu (0.5509, 0.0819, 0.2508)  0.03
O (0.3062, 0.9301, 0.0558)  0.02
O (0.0699, 0.9442, 0.6938)  0.02
O (0.5918, 0.8121, 0.4622)  0.01
O (0.9442, 0.6938, 0.0699)  0.02
O (0.4622, 0.5918, 0.8121)  0.01
O (0.1879, 0.5378, 0.4082)  0.01
O (0.8121, 0.4622, 0.5918)  0.01
O (0.5378, 0.4082, 0.1879)  0.01
O (0.0558, 0.3062, 0.9301)  0.02
O (0.4082, 0.1879, 0.5378)  0.01
O (0.9301, 0.0558, 0.3062)  0.02
O (0.6938, 0.0699, 0.9442)  0.02

**Crystal system**: trigonal
**Symmetry**: R-3 (148)
**Total magnetization**: 0.677 μB per formula unit
**Calculated total energy**: -5.19 eV per atom

---

no.,calculated volume (Å³/f.u.)
1,37
2,100